[1]
This record from Alexandria describes crystalline BaAc12In4N3 at its relaxed geometry. The functional is GGA-PBE.

abc: 9.546 9.546 9.546
angles: 109.47 109.47 109.47
Fractional positions:
In 0.000 0.000 0.500
In 0.500 0.000 0.000
In 0.500 0.500 0.500
In 0.000 0.500 0.000
N 0.000 0.500 0.500
N 0.500 0.500 0.000
N 0.500 0.000 0.500
Ac 0.278 0.000 0.278
Ac 0.722 0.722 0.000
Ac 0.722 0.000 0.722
Ac 0.250 0.500 0.750
Ac 0.250 0.750 0.500
Ac 0.500 0.250 0.750
Ac 0.278 0.278 0.000
Ac 0.750 0.500 0.250
Ac 0.500 0.750 0.250
Ac 0.000 0.722 0.722
Ac 0.000 0.278 0.278
Ac 0.750 0.250 0.500
Ba 0.000 0.000 0.000

Its density of states at the Fermi level is 14.8 states/eV/cell. The formation energy from raw total energies is -342 meV per atom. As for the space-group type: Im-3m (229).

---

[2]
This record from Alexandria describes crystalline Pm4Cd3Pb at its relaxed geometry. The functional is GGA-PBE.

abc: 3.849 5.425 10.973
angles: 90.00 90.00 90.00
Fractional positions:
Pm 0.000 0.000 0.000
Pm 0.000 0.500 0.746
Pm 0.000 0.500 0.254
Pm 0.000 0.000 0.500
Pb 0.500 0.500 0.000
Cd 0.500 0.000 0.259
Cd 0.500 0.500 0.500
Cd 0.500 0.000 0.741

As for the formation energy from the elements: -8.48 kcal/mol of atoms. Its density of states at the Fermi level is 11.2 states/eV/cell. As for the space-group type: Pmmm (47).

---

[3]
This record from Alexandria describes crystalline Zr2ZnRe at its relaxed geometry. The functional is GGA-PBE.

abc: 7.488 7.488 5.997
angles: 51.37 51.37 90.00
Fractional positions:
Re 0.750 0.250 0.500
Re 0.000 0.000 0.000
Zr 0.375 0.359 0.750
Zr 0.109 0.625 0.250
Zr 0.875 0.891 0.750
Zr 0.641 0.125 0.250
Zn 0.250 0.750 0.500
Zn 0.500 0.500 0.000

As for the formation energy from the elements: 7.86 kcal/mol of atoms. Its density of states at the Fermi level is 5.7 states/eV/cell. As for the space-group type: I-42d (122).

---

[4]
This record from Alexandria describes crystalline Dy2YZn3 at its relaxed geometry. The functional is GGA-PBE.

abc: 5.054 5.054 6.193
angles: 90.00 90.00 120.00
Fractional positions:
Zn 0.667 0.333 0.833
Zn 0.000 0.000 0.500
Zn 0.333 0.667 0.167
Y 0.000 0.000 0.000
Dy 0.667 0.333 0.334
Dy 0.333 0.667 0.666

As for the formation energy from the elements: -8.00 kcal/mol of atoms. Its density of states at the Fermi level is 7.1 states/eV/cell. As for the space-group type: P-3m1 (164).

---

[5]
This record from Alexandria describes crystalline La2CuHg at its relaxed geometry. The functional is GGA-PBE.

abc: 8.295 8.295 6.772
angles: 52.24 52.24 90.00
Fractional positions:
La 0.875 0.832 0.750
La 0.375 0.418 0.750
La 0.168 0.625 0.250
La 0.582 0.125 0.250
Cu 0.250 0.750 0.500
Cu 0.500 0.500 0.000
Hg 0.000 0.000 0.000
Hg 0.750 0.250 0.500

As for the formation energy from the elements: -1.01 kcal/mol of atoms. Its density of states at the Fermi level is 10.3 states/eV/cell. As for the space-group type: I-42d (122).

---

[6]
This record from Alexandria describes crystalline CsK2TeCl at its relaxed geometry. The functional is GGA-PBE.

abc: 5.099 9.026 10.311
angles: 90.00 90.00 106.41
Fractional positions:
Te 0.754 0.507 0.750
Te 0.246 0.493 0.250
K 0.171 0.343 0.935
K 0.171 0.343 0.565
K 0.829 0.657 0.065
K 0.829 0.657 0.435
Cs 0.562 0.124 0.250
Cs 0.438 0.876 0.750
Cl 0.000 0.000 0.500
Cl 0.000 0.000 0.000

Its density of states at the Fermi level is 0.0 states/eV/cell. The formation energy from raw total energies is -1366 meV per atom. As for the space-group type: Cmcm (63).